# NaSrMg2Cu

A relaxed structure of NaSrMg2Cu (PBE-GGA, Alexandria via LeMat-Bulk).

Unit cell a=5.1744 b=5.1744 c=5.7277 alpha=90.00 beta=90.00 gamma=90.00
Space group P4/mmm (No. 123)
Inequivalent atoms, fractional coordinates:
Na 0.0000 0.0000 0.0000
Sr 0.5000 0.5000 0.0000
Mg 0.0000 0.5000 0.5000
Cu 0.5000 0.5000 0.5000

Computed properties:
- DOS(E_F): 0.69 states/eV per atom
- Formation enthalpy at 0 K: 0.07 eV per atom
- Final energy: -9.9 eV for the cell shown